# CsB4Os (PBE-GGA, relaxed)
data_CsB4Os
_cell_length_a 2.837
_cell_length_b 6.189
_cell_length_c 8.375
_cell_angle_alpha 90.00
_cell_angle_beta 90.00
_cell_angle_gamma 90.00
_space_group_name_H-M_alt 'I m m m'
_space_group_IT_number 71
_space_group_name_Hall '-I 2 2'
loop_
_atom_site_label
_atom_site_fract_x
_atom_site_fract_y
_atom_site_fract_z
Cs1 0.000 0.000 0.000
B1 0.000 0.361 0.205
Os1 0.000 0.000 0.500
# Calculated total energy, eV for the cell shown: -62.809
# E above lowest polymorph, meV/atom: 675.4



# CsB4Os (PBE-GGA, relaxed)
data_CsB4Os
_cell_length_a 3.1342
_cell_length_b 3.1342
_cell_length_c 8.7242
_cell_angle_alpha 90.00
_cell_angle_beta 90.00
_cell_angle_gamma 120.00
_space_group_name_H-M_alt 'P 6/m m m'
_space_group_IT_number 191
_space_group_name_Hall '-P 6 2'
loop_
_atom_site_label
_atom_site_fract_x
_atom_site_fract_y
_atom_site_fract_z
Cs1 0.0000 0.0000 0.0000
B1 0.3333 0.6667 0.3202
Os1 0.0000 0.0000 0.5000
# Calculated total energy, eV for the cell shown: -35.457
# E above lowest polymorph, meV/atom: 0.0



# CsPaB (PBE-GGA, relaxed)
data_CsPaB
_cell_length_a 6.701
_cell_length_b 6.701
_cell_length_c 6.701
_cell_angle_alpha 90.00
_cell_angle_beta 90.00
_cell_angle_gamma 90.00
_space_group_name_H-M_alt 'F -4 3 m'
_space_group_IT_number 216
_space_group_name_Hall 'F -4 2 3'
loop_
_atom_site_label
_atom_site_fract_x
_atom_site_fract_y
_atom_site_fract_z
Cs1 0.000 0.000 0.000
Pa1 0.250 0.250 0.250
B1 0.250 0.250 0.750
# Calculated total energy, eV for the cell shown: -40.678



# CsBPd (PBE-GGA, relaxed)
data_CsBPd
_cell_length_a 6.841
_cell_length_b 6.841
_cell_length_c 6.841
_cell_angle_alpha 90.00
_cell_angle_beta 90.00
_cell_angle_gamma 90.00
_space_group_name_H-M_alt 'F -4 3 m'
_space_group_IT_number 216
_space_group_name_Hall 'F -4 2 3'
loop_
_atom_site_label
_atom_site_fract_x
_atom_site_fract_y
_atom_site_fract_z
Cs1 0.000 0.000 0.000
B1 0.000 0.000 0.500
Pd1 0.250 0.250 0.750
# Calculated total energy, eV for the cell shown: -32.358
# E above lowest polymorph, meV/atom: 0.0



# CsPmB4 (PBE-GGA, relaxed)
data_CsPmB4
_cell_length_a 3.3045
_cell_length_b 3.3045
_cell_length_c 9.5811
_cell_angle_alpha 90.00
_cell_angle_beta 90.00
_cell_angle_gamma 120.00
_space_group_name_H-M_alt 'P 6/m m m'
_space_group_IT_number 191
_space_group_name_Hall '-P 6 2'
loop_
_atom_site_label
_atom_site_fract_x
_atom_site_fract_y
_atom_site_fract_z
Cs1 0.0000 0.0000 0.0000
Pm1 0.0000 0.0000 0.5000
B1 0.3333 0.6667 0.2929
# Calculated total energy, eV for the cell shown: -30.759
# E above lowest polymorph, meV/atom: 0.0



# CsPmB4 (PBE-GGA, relaxed)
data_CsPmB4
_cell_length_a 3.219
_cell_length_b 5.511
_cell_length_c 9.756
_cell_angle_alpha 90.00
_cell_angle_beta 90.00
_cell_angle_gamma 90.00
_space_group_name_H-M_alt 'I m m m'
_space_group_IT_number 71
_space_group_name_Hall '-I 2 2'
loop_
_atom_site_label
_atom_site_fract_x
_atom_site_fract_y
_atom_site_fract_z
Cs1 0.000 0.000 0.000
Pm1 0.000 0.000 0.500
B1 0.000 0.334 0.245
# Calculated total energy, eV for the cell shown: -57.859
# E above lowest polymorph, meV/atom: 305.0